## Sb2WBr (PBE)

Data for a relaxed structure of Sb2WBr.

Output
* E: -0.1885 Ha/atom
* energy relative to the lowest polymorph listed for this composition: 331 meV/atom
* formation energy without anion corrections: 2.36 eV per formula unit

Cell: 3.091 5.633 11.771 Å, 90.00 90.00 90.00°
Space group Cmm2 (No. 35)
One atom of each set of equivalent atoms:
Sb 0.000 0.000 0.000
Sb 0.000 0.500 0.307
W 0.000 0.000 0.511
Br 0.000 0.500 0.685

## SbWBr2 (PBE)

Data for a relaxed structure of SbWBr2.

Output
* E: -0.1411 Ha/atom
* energy relative to the lowest polymorph listed for this composition: 1174 meV/atom
* formation energy without anion corrections: 5.06 eV per formula unit

Cell: 5.104 5.104 3.279 Å, 90.00 90.00 90.00°
Space group P4/mmm (No. 123)
One atom of each set of equivalent atoms:
Sb 0.000 0.000 0.000
W 0.500 0.500 0.000
Br 0.000 0.500 0.500

## Sb2WBr (PBE)

Data for a relaxed structure of Sb2WBr.

Output
* E: -0.1953 Ha/atom
* energy relative to the lowest polymorph listed for this composition: 145 meV/atom
* formation energy without anion corrections: 1.61 eV per formula unit

Cell: 3.3990 3.3990 29.0903 Å, 90.00 90.00 120.00°
Space group R3m (No. 160, hexagonal axes)
One atom of each set of equivalent atoms:
Sb 0.0000 0.0000 0.0000
Sb 0.0000 0.0000 0.2470
W 0.0000 0.0000 0.7325
Br 0.0000 0.0000 0.4628